[1]
# La3Pm4Tl

An optimized crystal structure of La3Pm4Tl (PBE, Alexandria via LeMat-Bulk).

Cell: 11.613 7.270 6.367 Å, 90.00 90.00 90.00°
Space group Pmn2_1 (No. 31)
Inequivalent atoms, fractional coordinates:
La 0.000 0.127 0.000
La 0.241 0.112 0.661
Pm 0.000 0.374 0.460
Pm 0.000 0.631 0.998
Pm 0.234 0.629 0.644
Tl 0.000 0.870 0.480

Values from the calculation:
magnetization = 0.00 μB per cell
energy of formation = -0.08 eV/atom



[2]
# SbPSe

An optimized crystal structure of SbPSe (PBE, Alexandria via LeMat-Bulk).

Cell: 5.358 5.946 6.500 Å, 64.08 66.49 80.65°
Space group P1 (No. 1)
Inequivalent atoms, fractional coordinates:
Sb 0.000 0.000 0.000
Sb 0.477 0.301 0.551
P 0.074 0.032 0.366
P 0.287 0.392 0.208
Se 0.436 0.791 0.457
Se 0.708 0.419 0.905

Values from the calculation:
raw formation energy = 0.042 eV/atom
relative energy among the computed polymorphs = 54 meV per atom
magnetization = 0.00 μB per cell



[3]
# Ti3S2

An optimized crystal structure of Ti3S2 (PBE, Alexandria via LeMat-Bulk).

Cell: 5.4294 5.4294 9.7199 Å, 90.00 90.00 120.00°
Space group R32 (No. 155, hexagonal axes)
Inequivalent atoms, fractional coordinates:
Ti 0.0000 0.6639 0.0000
S 0.0000 0.0000 0.1680

Values from the calculation:
raw formation energy = -0.945 eV/atom
relative energy among the computed polymorphs = 37 meV per atom
magnetization = 0.00 μB per cell



[4]
# SmDy7Er2

An optimized crystal structure of SmDy7Er2 (PBE, Alexandria via LeMat-Bulk).

Cell: 8.716 16.108 5.576 Å, 90.00 90.00 90.00°
Space group Cmmm (No. 65)
Inequivalent atoms, fractional coordinates:
Sm 0.000 0.000 0.000
Dy 0.000 0.215 0.000
Dy 0.000 0.500 0.500
Dy 0.177 0.114 0.500
Er 0.000 0.296 0.500

Values from the calculation:
relative energy among the computed polymorphs = 652 meV per atom
magnetization = 0.00 μB per cell
energy of formation = 0.70 eV/atom